Record 1
Compound: Sr2PrNpAs4
Source: Alexandria
Functional: PBE
Structure: optimized geometry

The value obtained for the energy of formation from the pure elements is -1.0685 eV/atom. As for the density of states at the Fermi level: 7.1 states/eV/f.u. The calculated volume comes out at 230.8 Å³/cell.

It has space group P2/m (No. 10), with a = 7.460 Å, b = 4.328 Å, c = 7.565 Å, α = 90.00°, β = 109.14° and γ = 90.00°. The distinct sites, in fractional coordinates, are Sr at (0.000, 0.000, 0.000), Sr at (0.500, 0.500, 0.000), Pr at (0.000, 0.500, 0.500), Np at (0.500, 0.000, 0.500), As at (0.260, 0.000, 0.723) and As at (0.275, 0.500, 0.284).

Record 2
Compound: TbPrNp2As4
Source: Alexandria
Functional: PBE
Structure: optimized geometry

The value obtained for the energy of formation from the pure elements is -1.0662 eV/atom. As for the density of states at the Fermi level: 22.9 states/eV/f.u. The calculated volume comes out at 203.9 Å³/cell.

It has space group P2/m (No. 10), with a = 7.219 Å, b = 4.142 Å, c = 7.221 Å, α = 90.00°, β = 109.23° and γ = 90.00°. The distinct sites, in fractional coordinates, are Tb at (0.000, 0.000, 0.000), Pr at (0.500, 0.500, 0.000), Np at (0.000, 0.500, 0.500), Np at (0.500, 0.000, 0.500), As at (0.241, 0.000, 0.738) and As at (0.247, 0.500, 0.257).

Record 3
Compound: Pr2ThNpAs4
Source: Alexandria
Functional: PBE
Structure: optimized geometry

The value obtained for the energy of formation from the pure elements is -1.2789 eV/atom. As for the density of states at the Fermi level: 13.1 states/eV/f.u. The calculated volume comes out at 216.9 Å³/cell.

It has space group P2/m (No. 10), with a = 7.345 Å, b = 4.243 Å, c = 7.377 Å, α = 90.00°, β = 109.41° and γ = 90.00°. The distinct sites, in fractional coordinates, are Pr at (0.000, 0.000, 0.000), Pr at (0.500, 0.500, 0.000), Th at (0.000, 0.500, 0.500), Np at (0.500, 0.000, 0.500), As at (0.251, 0.000, 0.742) and As at (0.258, 0.500, 0.262).

Record 4
Compound: Pr3Th2NpAs6
Source: Alexandria
Functional: PBE
Structure: optimized geometry

The value obtained for the energy of formation from the pure elements is -1.3422 eV/atom. As for the density of states at the Fermi level: 14.8 states/eV/f.u. The calculated volume comes out at 656.3 Å³/cell.

It has space group C2/m (No. 12), with a = 18.594 Å, b = 4.258 Å, c = 8.527 Å, α = 90.00°, β = 103.52° and γ = 90.00°. The distinct sites, in fractional coordinates, are Pr at (0.000, 0.000, 0.000), Pr at (0.167, 0.500, 0.333), Th at (0.165, 0.500, 0.830), Np at (0.000, 0.000, 0.500), As at (0.000, 0.500, 0.259), As at (0.164, 0.000, 0.584) and As at (0.169, 0.000, 0.080).

Record 5
Compound: PrTmNp2As4
Source: Alexandria
Functional: PBE
Structure: optimized geometry

The value obtained for the energy of formation from the pure elements is -1.0487 eV/atom. As for the density of states at the Fermi level: 22.6 states/eV/f.u. The calculated volume comes out at 201.3 Å³/cell.

It has space group P2/m (No. 10), with a = 7.187 Å, b = 4.126 Å, c = 7.191 Å, α = 90.00°, β = 109.26° and γ = 90.00°. The distinct sites, in fractional coordinates, are Pr at (0.000, 0.000, 0.000), Tm at (0.000, 0.500, 0.500), Np at (0.500, 0.000, 0.500), Np at (0.500, 0.500, 0.000), As at (0.254, 0.000, 0.744) and As at (0.260, 0.500, 0.261).

Record 6
Compound: Pr2NpUAs4
Source: Alexandria
Functional: PBE
Structure: optimized geometry

The value obtained for the energy of formation from the pure elements is -1.0988 eV/atom. As for the density of states at the Fermi level: 14.0 states/eV/f.u. The calculated volume comes out at 209.1 Å³/cell.

It has space group P2/m (No. 10), with a = 7.220 Å, b = 4.173 Å, c = 7.347 Å, α = 90.00°, β = 109.15° and γ = 90.00°. The distinct sites, in fractional coordinates, are Pr at (0.000, 0.000, 0.000), Pr at (0.500, 0.500, 0.000), Np at (0.000, 0.500, 0.500), U at (0.500, 0.000, 0.500), As at (0.246, 0.000, 0.734) and As at (0.257, 0.500, 0.265).

Record 7
Compound: Pr2YNpAs4
Source: Alexandria
Functional: PBE
Structure: optimized geometry

The value obtained for the energy of formation from the pure elements is -1.2975 eV/atom. As for the density of states at the Fermi level: 12.0 states/eV/f.u. The calculated volume comes out at 210.9 Å³/cell.

It has space group P2/m (No. 10), with a = 7.282 Å, b = 4.205 Å, c = 7.295 Å, α = 90.00°, β = 109.30° and γ = 90.00°. The distinct sites, in fractional coordinates, are Pr at (0.000, 0.000, 0.000), Pr at (0.500, 0.500, 0.000), Y at (0.000, 0.500, 0.500), Np at (0.500, 0.000, 0.500), As at (0.249, 0.000, 0.736) and As at (0.257, 0.500, 0.264).

Record 8
Compound: PrYNp2As4
Source: Alexandria
Functional: PBE
Structure: optimized geometry

The value obtained for the energy of formation from the pure elements is -1.0691 eV/atom. As for the density of states at the Fermi level: 23.0 states/eV/f.u. The calculated volume comes out at 203.4 Å³/cell.

It has space group P2/m (No. 10), with a = 7.213 Å, b = 4.140 Å, c = 7.216 Å, α = 90.00°, β = 109.24° and γ = 90.00°. The distinct sites, in fractional coordinates, are Pr at (0.000, 0.000, 0.000), Y at (0.500, 0.500, 0.000), Np at (0.000, 0.500, 0.500), Np at (0.500, 0.000, 0.500), As at (0.253, 0.000, 0.743) and As at (0.259, 0.500, 0.261).